The following is a DFT calculation (GGA-PBE) of an optimized crystal structure of V2ReMo6W3.

The structure in POSCAR format:
```
V2ReMo6W3
1.0
2.221 -4.715 0.000
2.221 4.715 0.000
-0.023 0.000 8.871
V Re Mo W
2 1 6 3
Direct
0.166 0.834 0.000 V
0.834 0.166 0.000 V
0.500 0.500 0.000 Re
0.000 0.000 0.244 Mo
0.000 0.000 0.756 Mo
0.333 0.667 0.244 Mo
0.333 0.667 0.756 Mo
0.667 0.333 0.244 Mo
0.667 0.333 0.756 Mo
0.166 0.834 0.500 W
0.500 0.500 0.500 W
0.834 0.166 0.500 W
```

Results
* DFT formation energy: -1.98 kcal/mol of atoms
* uncorrected energy: -11.297 eV/atom

The following is a DFT calculation (GGA-PBE) of an optimized crystal structure of VZnReMo.

The structure in POSCAR format:
```
VZnReMo
1.0
0.000 3.087 3.087
3.087 0.000 3.087
3.087 3.087 0.000
V Zn Re Mo
1 1 1 1
Direct
0.000 0.000 0.000 V
0.250 0.250 0.250 Zn
0.750 0.750 0.750 Re
0.500 0.500 0.500 Mo
```

Results
* DFT formation energy: 2.22 kcal/mol of atoms
* uncorrected energy: -8.322 eV/atom

The following is a DFT calculation (GGA-PBE) of an optimized crystal structure of ZrVReMo.

The structure in POSCAR format:
```
ZrVReMo
1.0
0.000 3.187 3.187
3.187 0.000 3.187
3.187 3.187 0.000
Zr V Re Mo
1 1 1 1
Direct
0.000 0.000 0.000 Zr
0.250 0.250 0.250 V
0.500 0.500 0.500 Re
0.750 0.750 0.750 Mo
```

Results
* DFT formation energy: -1.87 kcal/mol of atoms
* uncorrected energy: -10.318 eV/atom

The following is a DFT calculation (GGA-PBE) of an optimized crystal structure of ReMo2W.

The structure in POSCAR format:
```
ReMo2W
1.0
-1.948 1.948 4.186
1.948 -1.948 4.186
1.948 1.948 -4.186
Re Mo W
1 2 1
Direct
0.000 0.000 0.000 Re
0.500 0.500 0.000 Mo
0.750 0.250 0.500 Mo
0.250 0.750 0.500 W
```

Results
* DFT formation energy: 7.06 kcal/mol of atoms
* uncorrected energy: -11.460 eV/atom
* distance to the lowest polymorph of the same formula: 1.15 eV per formula unit